Entry from Alexandria: a geometry-optimized EuAgAs structure (PBE-GGA).

Summary:
Spin magnetization, μB per formula unit: 7.01
D(E_F), states/eV per cell: 9.76
Formation energy from the elements, meV per atom: 190

Cell: 3.209 3.209 15.522 Å, 90.00 90.00 90.00°
Space group I4mm (No. 107)
Inequivalent atoms, fractional coordinates:
Eu 0.000 0.000 0.000
Ag 0.000 0.000 0.645
As 0.000 0.000 0.812